Compound: BaSeO2F
Source: Alexandria via LeMat-Bulk
Functional: PBEsol
Structure: optimized geometry

The total energy comes out at -20.186 eV for the cell shown. The volume is 123.2 Å³/cell. Its density of states at the Fermi level is 6.90 states/eV/cell.

a = 5.0074 Å, b = 5.0074 Å, c = 4.9118 Å
α = 90.00°, β = 90.00°, γ = 90.00°
Last column: magnetic moment on the atom in μB.
Atoms (fractional coordinates):
F1 0.0000 0.0000 0.5000  0.10
Se1 0.5000 0.5000 0.5000  1.41
O1 0.0000 0.5000 0.0000  1.04
O2 0.5000 0.0000 0.0000  1.04
Ba1 0.0000 0.0000 0.0000  0.09



Compound: MoAs2CBr
Source: Alexandria via LeMat-Bulk
Functional: PBEsol
Structure: optimized geometry

The total energy comes out at -26.562 eV for the cell shown. The volume is 79.1 Å³/cell. Its density of states at the Fermi level is 2.87 states/eV/cell.

a = 4.1964 Å, b = 4.1964 Å, c = 4.4920 Å
α = 90.00°, β = 90.00°, γ = 90.00°
Last column: magnetic moment on the atom in μB.
Atoms (fractional coordinates):
As1 0.0000 0.5000 0.0000  -0.07
C1 0.0000 0.0000 0.0000  -0.05
Mo1 0.5000 0.5000 0.5000  1.79
Br1 0.0000 0.0000 0.5000  -0.05
As2 0.5000 0.0000 0.0000  -0.07



Compound: SrHg2H2
Source: Alexandria via LeMat-Bulk
Functional: PBEsol
Structure: optimized geometry

The total energy comes out at -9.565 eV for the cell shown. The volume is 87.7 Å³/cell. Its density of states at the Fermi level is 1.25 states/eV/cell.

a = 4.2812 Å, b = 4.2812 Å, c = 5.6616 Å
α = 112.22°, β = 112.22°, γ = 90.00°
Atoms (fractional coordinates):
Sr1 0.0000 0.0000 0.0000
Hg1 0.3440 0.3440 0.6879
Hg2 0.6560 0.6560 0.3121
H1 0.2500 0.7500 0.5000
H2 0.7500 0.2500 0.5000



Compound: SbOsPt2
Source: Alexandria via LeMat-Bulk
Functional: PBEsol
Structure: optimized geometry

The total energy comes out at -29.412 eV for the cell shown. The volume is 64.6 Å³/cell. Its density of states at the Fermi level is 2.47 states/eV/cell.

a = 2.9050 Å, b = 4.6635 Å, c = 5.5011 Å
α = 115.08°, β = 105.31°, γ = 90.00°
Atoms (fractional coordinates):
Os1 0.0000 0.5000 0.0000
Pt1 0.7499 0.7499 0.4999
Sb1 0.5000 0.0000 0.0000
Pt2 0.2501 0.2501 0.5001



Compound: Sr2FeSnO6
Source: Alexandria via LeMat-Bulk
Functional: PBEsol
Structure: optimized geometry

The total energy comes out at -276.807 eV for the cell shown. The volume is 491.0 Å³/cell. Its density of states at the Fermi level is 9.90 states/eV/cell.

a = 5.5445 Å, b = 7.9868 Å, c = 11.7848 Å
α = 109.81°, β = 90.00°, γ = 90.00°
Last column: magnetic moment on the atom in μB.
Atoms (fractional coordinates):
Fe1 0.5000 0.6253 0.2505  2.58
O1 0.7390 0.1847 0.3695  0.09
O2 0.7390 0.8153 0.6305  0.09
Sr1 0.0000 0.6203 0.7499  0.01
O3 0.2588 0.4353 0.8706  0.04
O4 0.7412 0.4353 0.8706  0.04
O5 0.2607 0.9349 0.8698  0.10
O6 0.0000 0.5000 0.5000  0.02
O7 0.2607 0.0651 0.1302  0.10
Sr2 0.0000 0.1296 0.7499  0.01
O8 0.7412 0.5647 0.1294  0.04
Sr3 0.5000 0.5000 0.5000  0.01
Sr4 0.5000 0.7457 0.0000  0.01
Sn1 0.0000 0.0000 0.0000  0.05
Fe2 0.5000 0.3747 0.7495  2.58
Sr5 0.0000 0.3797 0.2501  0.01
O9 0.5000 0.1406 0.7499  0.18
Sr6 0.5000 0.0000 0.5000  0.01
O10 0.5000 0.8594 0.2501  0.18
O11 0.7393 0.0651 0.1302  0.10
Sn2 0.0000 0.7504 0.5009  0.04
O12 0.2610 0.1847 0.3695  0.09
Sr7 0.5000 0.2543 0.0000  0.01
O13 0.0000 0.0000 0.5000  0.02
Sr8 0.0000 0.8704 0.2501  0.01
Fe3 0.5000 0.8753 0.7506  3.33
O14 0.2585 0.3146 0.6291  0.04
O15 0.5000 0.6094 0.7499  0.18
O16 0.2585 0.6854 0.3709  0.04
Sn3 0.0000 0.5000 0.0000  0.03
Fe4 0.5000 0.1247 0.2494  3.33
O17 0.5000 0.3906 0.2501  0.18
O18 0.2610 0.8153 0.6305  0.09
O19 0.7415 0.6854 0.3709  0.04
Sn4 0.0000 0.2496 0.4991  0.04
O20 0.0000 0.2496 0.0000  0.02
O21 0.7415 0.3146 0.6291  0.04
O22 0.0000 0.7504 0.0000  0.02
O23 0.7393 0.9349 0.8698  0.10
O24 0.2588 0.5647 0.1294  0.04



Compound: KAlRu2
Source: Alexandria via LeMat-Bulk
Functional: PBEsol
Structure: optimized geometry

The total energy comes out at -24.013 eV for the cell shown. The volume is 79.2 Å³/cell. Its density of states at the Fermi level is 3.23 states/eV/cell.

a = 2.7374 Å, b = 3.6942 Å, c = 7.8336 Å
α = 90.00°, β = 90.00°, γ = 90.00°
Atoms (fractional coordinates):
K1 0.0000 0.5000 0.7618
Ru1 0.0000 0.5000 0.2304
Ru2 0.5000 0.0000 0.0948
Al1 0.5000 0.0000 0.4131